Record 1
The following is a PBE calculation of a relaxed RbNiSnSe3 crystal, from OQMD via LeMat-Bulk.

abc: 7.351 7.351 11.360
angles: 90.00 90.00 147.08
Element x y z (fractional)
Rb 0.219 0.781 0.750
Rb 0.781 0.219 0.250
Ni 0.076 0.924 0.250
Ni 0.924 0.076 0.750
Sn 0.500 0.500 0.000
Sn 0.500 0.500 0.500
Se 0.133 0.867 0.055
Se 0.133 0.867 0.445
Se 0.497 0.503 0.250
Se 0.503 0.497 0.750
Se 0.867 0.133 0.555
Se 0.867 0.133 0.945

Results
Spin magnetization (Bohr magnetons per cell): 1.5
SG: Cmcm (63)
Total energy (eV per formula unit): -24.11


Record 2
The following is a PBE calculation of a relaxed GdNi12B6 crystal, from OQMD via LeMat-Bulk.

abc: 6.022 6.022 6.022
angles: 104.41 104.41 104.41
Element x y z (fractional)
Gd 0.000 0.000 0.000
Ni 0.130 0.500 0.870
Ni 0.130 0.870 0.500
Ni 0.187 0.454 0.454
Ni 0.454 0.187 0.454
Ni 0.454 0.454 0.187
Ni 0.500 0.130 0.870
Ni 0.500 0.870 0.130
Ni 0.546 0.546 0.813
Ni 0.546 0.813 0.546
Ni 0.813 0.546 0.546
Ni 0.870 0.130 0.500
Ni 0.870 0.500 0.130
B 0.235 0.235 0.670
B 0.235 0.670 0.235
B 0.330 0.765 0.765
B 0.670 0.235 0.235
B 0.765 0.330 0.765
B 0.765 0.765 0.330

Results
Spin magnetization (Bohr magnetons per cell): 0.0
SG: R-3m (166)
Total energy (eV per formula unit): -119.02


Record 3
The following is a PBE calculation of a relaxed LiDyHgPb crystal, from OQMD via LeMat-Bulk.

abc: 7.297 7.297 7.297
angles: 90.00 90.00 90.00
Element x y z (fractional)
Li 0.000 0.000 0.000
Li 0.000 0.500 0.500
Li 0.500 0.000 0.500
Li 0.500 0.500 0.000
Dy 0.000 0.000 0.500
Dy 0.000 0.500 0.000
Dy 0.500 0.000 0.000
Dy 0.500 0.500 0.500
Hg 0.250 0.250 0.750
Hg 0.250 0.750 0.250
Hg 0.750 0.250 0.250
Hg 0.750 0.750 0.750
Pb 0.250 0.250 0.250
Pb 0.250 0.750 0.750
Pb 0.750 0.250 0.750
Pb 0.750 0.750 0.250

Results
Spin magnetization (Bohr magnetons per cell): 0.0
SG: F-43m (216)
Total energy (eV per formula unit): -12.30


Record 4
The following is a PBE calculation of a relaxed GaCoSn2 crystal, from OQMD via LeMat-Bulk.

abc: 6.804 6.804 6.804
angles: 90.00 90.00 90.00
Element x y z (fractional)
Ga 0.000 0.000 0.000
Ga 0.000 0.500 0.500
Ga 0.500 0.000 0.500
Ga 0.500 0.500 0.000
Co 0.250 0.250 0.750
Co 0.250 0.750 0.250
Co 0.750 0.250 0.250
Co 0.750 0.750 0.750
Sn 0.000 0.000 0.500
Sn 0.000 0.500 0.000
Sn 0.250 0.250 0.250
Sn 0.250 0.750 0.750
Sn 0.500 0.000 0.000
Sn 0.500 0.500 0.500
Sn 0.750 0.250 0.750
Sn 0.750 0.750 0.250

Results
Spin magnetization (Bohr magnetons per cell): 0.8
SG: F-43m (216)
Total energy (eV per formula unit): -16.42


Record 5
The following is a PBE calculation of a relaxed Al2AgI6Br2 crystal, from OQMD via LeMat-Bulk.

abc: 8.419 8.419 7.610
angles: 93.66 93.66 68.79
Element x y z (fractional)
Al 0.215 0.215 0.335
Al 0.785 0.785 0.665
Ag 0.000 0.000 0.000
I 0.087 0.675 0.829
I 0.325 0.913 0.171
I 0.389 0.389 0.272
I 0.611 0.611 0.728
I 0.675 0.087 0.829
I 0.913 0.325 0.171
Br 0.189 0.189 0.629
Br 0.811 0.811 0.371

Results
SG: C2/m (12)
Total energy (eV per formula unit): -29.56


Record 6
The following is a PBE calculation of a relaxed Y3HgO crystal, from OQMD via LeMat-Bulk.

abc: 4.763 4.763 4.763
angles: 90.00 90.00 90.00
Element x y z (fractional)
Y 0.000 0.000 0.500
Y 0.000 0.500 0.000
Y 0.500 0.000 0.000
Hg 0.500 0.500 0.500
O 0.000 0.000 0.000

Results
Spin magnetization (Bohr magnetons per cell): 0.0
SG: Pm-3m (221)
Total energy (eV per formula unit): -31.66


Record 7
The following is a PBE calculation of a relaxed InTe4PdAu3 crystal, from OQMD via LeMat-Bulk.

abc: 6.478 6.478 6.478
angles: 90.00 90.00 90.00
Element x y z (fractional)
In 0.000 0.000 0.000
Te 0.257 0.257 0.257
Te 0.257 0.743 0.743
Te 0.743 0.257 0.743
Te 0.743 0.743 0.257
Pd 0.500 0.500 0.500
Au 0.000 0.500 0.500
Au 0.500 0.000 0.500
Au 0.500 0.500 0.000

Results
SG: P-43m (215)
Total energy (eV per formula unit): -30.94


Record 8
The following is a PBE calculation of a relaxed PaIrPb crystal, from OQMD via LeMat-Bulk.

abc: 6.880 6.880 6.880
angles: 90.00 90.00 90.00
Element x y z (fractional)
Pa 0.000 0.000 0.000
Pa 0.000 0.500 0.500
Pa 0.500 0.000 0.500
Pa 0.500 0.500 0.000
Ir 0.250 0.250 0.750
Ir 0.250 0.750 0.250
Ir 0.750 0.250 0.250
Ir 0.750 0.750 0.750
Pb 0.250 0.250 0.250
Pb 0.250 0.750 0.750
Pb 0.750 0.250 0.750
Pb 0.750 0.750 0.250

Results
Spin magnetization (Bohr magnetons per cell): 0.1
SG: F-43m (216)
Total energy (eV per formula unit): -20.90


Record 9
The following is a PBE calculation of a relaxed KCuNiTeS2 crystal, from OQMD via LeMat-Bulk.

abc: 7.921 7.921 9.900
angles: 90.00 90.00 154.61
Element x y z (fractional)
K 0.230 0.770 0.750
K 0.770 0.230 0.250
Cu 0.449 0.551 0.250
Cu 0.551 0.449 0.750
Ni 0.000 0.000 0.000
Ni 0.000 0.000 0.500
Te 0.075 0.925 0.250
Te 0.925 0.075 0.750
S 0.401 0.599 0.037
S 0.401 0.599 0.463
S 0.599 0.401 0.537
S 0.599 0.401 0.963

Results
Spin magnetization (Bohr magnetons per cell): 0.8
SG: Cmcm (63)
Total energy (eV per formula unit): -23.98


Record 10
The following is a PBE calculation of a relaxed SiAsOsO crystal, from OQMD via LeMat-Bulk.

abc: 3.659 3.659 9.739
angles: 90.00 90.00 90.00
Element x y z (fractional)
Si 0.250 0.250 0.094
Si 0.750 0.750 0.906
As 0.250 0.250 0.678
As 0.750 0.750 0.322
Os 0.250 0.750 0.500
Os 0.750 0.250 0.500
O 0.250 0.750 0.000
O 0.750 0.250 0.000

Results
Spin magnetization (Bohr magnetons per cell): 0.0
SG: P4/nmm (129)
Total energy (eV per formula unit): -27.58


Record 11
The following is a PBE calculation of a relaxed SrAsPtAu crystal, from OQMD via LeMat-Bulk.

abc: 6.965 6.965 6.965
angles: 90.00 90.00 90.00
Element x y z (fractional)
Sr 0.000 0.000 0.000
Sr 0.000 0.500 0.500
Sr 0.500 0.000 0.500
Sr 0.500 0.500 0.000
As 0.250 0.250 0.250
As 0.250 0.750 0.750
As 0.750 0.250 0.750
As 0.750 0.750 0.250
Pt 0.250 0.250 0.750
Pt 0.250 0.750 0.250
Pt 0.750 0.250 0.250
Pt 0.750 0.750 0.750
Au 0.000 0.000 0.500
Au 0.000 0.500 0.000
Au 0.500 0.000 0.000
Au 0.500 0.500 0.500

Results
Spin magnetization (Bohr magnetons per cell): 0.0
SG: F-43m (216)
Total energy (eV per formula unit): -16.44


Record 12
The following is a PBE calculation of a relaxed TaCoIr crystal, from OQMD via LeMat-Bulk.

abc: 4.264 4.264 5.362
angles: 90.00 90.00 120.00
Element x y z (fractional)
Ta 0.333 0.667 0.250
Ta 0.667 0.333 0.750
Co 0.333 0.667 0.750
Co 0.667 0.333 0.250
Ir 0.000 0.000 0.000
Ir 0.000 0.000 0.500

Results
Spin magnetization (Bohr magnetons per cell): 0.0
SG: P6_3/mmc (194)
Total energy (eV per formula unit): -29.23
ΔE_f (eV/f.u.): -1.418